# 1
DFT (PBE) results for crystalline YTl2Au at its relaxed geometry.

Cell lengths 9.3318, 9.3318, 9.3318 Å; angles 22.68, 22.68, 22.68 degrees
Atoms (fractional coordinates):
Au 0.7500 0.7500 0.7500
Tl 0.4903 0.4903 0.4903
Tl 0.0097 0.0097 0.0097
Y 0.2500 0.2500 0.2500

Computed properties:
V, Å³/cell: 106
Space-group type: R-3m, No. 166
Total DFT energy (no corrections), eV/atom: -3.68
Calculated formation energy, eV/atom: -0.063
Density of states at the Fermi level, states/eV/atom: 0.755

# 2
DFT (PBE) results for crystalline La2NiBr at its relaxed geometry.

Cell lengths 8.4449, 8.4449, 8.4449 Å; angles 154.33, 154.16, 36.74 degrees
Atoms (fractional coordinates):
Br 0.7010 0.2010 0.5000
La 0.3195 0.8195 0.5000
La 0.0278 0.0278 0.0000
Ni 0.4517 0.4517 0.0000

Computed properties:
V, Å³/cell: 114
Space-group type: Imm2, No. 44
Uncorrected formation energy, meV/atom: -727
Total DFT energy (no corrections), eV/atom: -5.05
Density of states at the Fermi level, states/eV/atom: 0.815

# 3
DFT (PBE) results for crystalline AgHPd2Pb at its relaxed geometry.

Cell lengths 4.1930, 4.1930, 4.3068 Å; angles 90.00, 90.00, 90.00 degrees
Atoms (fractional coordinates):
Pb 0.5000 0.5000 0.5000
Pd 0.5000 0.0000 0.0000
Pd 0.0000 0.5000 0.0000
Ag 0.0000 0.0000 0.5000
H 0.0000 0.0000 0.0000

Computed properties:
V, Å³/cell: 76
Space-group type: P4/mmm, No. 123
Total DFT energy (no corrections), eV/atom: -4.10
Density of states at the Fermi level, states/eV/atom: 0.590

# 4
DFT (PBE) results for crystalline LiNi4Pt at its relaxed geometry.

Cell lengths 4.6969, 4.6969, 4.6969 Å; angles 60.00, 60.00, 60.00 degrees
Atoms (fractional coordinates):
Pt 0.2500 0.2500 0.2500
Ni 0.6250 0.1250 0.6250
Ni 0.1250 0.6250 0.6250
Ni 0.6250 0.6250 0.1250
Ni 0.6250 0.6250 0.6250
Li 0.0000 0.0000 0.0000

Computed properties:
V, Å³/cell: 73
Space-group type: F-43m, No. 216
Total DFT energy (no corrections), eV/atom: -5.21
Calculated formation energy, eV/atom: -0.029
Density of states at the Fermi level, states/eV/atom: 1.785

# 5
DFT (PBE) results for crystalline Li2CaPr at its relaxed geometry.

Cell lengths 3.5954, 3.5954, 11.3848 Å; angles 80.91, 80.91, 60.00 degrees
Atoms (fractional coordinates):
Ca 0.6669 0.6669 0.9992
Li 0.2492 0.2492 0.2524
Li 0.0840 0.0840 0.7480
Pr 0.4999 0.4999 0.5004

Computed properties:
V, Å³/cell: 125
Space-group type: R3m, No. 160
Total DFT energy (no corrections), eV/atom: -2.51
Calculated formation energy, eV/atom: 0.146
Density of states at the Fermi level, states/eV/atom: 0.929

# 6
DFT (PBE) results for crystalline HfTlS2 at its relaxed geometry.

Cell lengths 6.6519, 9.4564, 7.5434 Å; angles 90.00, 90.00, 90.00 degrees
Atoms (fractional coordinates):
Tl 0.5417 0.2196 0.9596
Tl 0.9583 0.7196 0.4596
Tl 0.0417 0.2804 0.9596
Tl 0.4583 0.7804 0.4596
S 0.0138 0.3654 0.5279
S 0.4945 0.4828 0.2482
S 0.5138 0.1346 0.5279
S 0.4862 0.8654 0.0279
S 0.9862 0.6346 0.0279
S 0.0055 0.9828 0.7482
S 0.9945 0.0172 0.2482
S 0.5055 0.5172 0.7482
Hf 0.1238 0.8720 0.0142
Hf 0.6238 0.6280 0.0142
Hf 0.3762 0.3720 0.5142
Hf 0.8762 0.1280 0.5142

Computed properties:
V, Å³/cell: 475
Space-group type: Pna2_1, No. 33
Uncorrected formation energy, meV/atom: -858
Total DFT energy (no corrections), eV/atom: -6.00
Density of states at the Fermi level, states/eV/atom: 0.697

# 7
DFT (PBE) results for crystalline MgWCl2 at its relaxed geometry.

Cell lengths 5.7446, 5.7446, 6.5474 Å; angles 63.98, 63.98, 90.00 degrees
Each line ends with the local moment (μB).
Atoms (fractional coordinates):
Cl 0.6204 0.1250 0.2500  0.00
Cl 0.3750 0.3796 0.7500  0.00
Cl 0.1296 0.6250 0.2500  0.00
Cl 0.8750 0.8704 0.7500  0.00
Mg 0.5000 0.5000 0.0000  0.00
Mg 0.2500 0.7500 0.5000  0.00
W 0.0000 0.0000 0.0000  0.45
W 0.7500 0.2500 0.5000  0.43

Computed properties:
V, Å³/cell: 169
Space-group type: I-42d, No. 122
Uncorrected formation energy, meV/atom: 682
Total DFT energy (no corrections), eV/atom: -3.88
Density of states at the Fermi level, states/eV/atom: 0.948

# 8
DFT (PBE) results for crystalline DyY2Ru3 at its relaxed geometry.

Cell lengths 3.4181, 4.8082, 7.6074 Å; angles 108.42, 90.00, 90.00 degrees
Atoms (fractional coordinates):
Ru 0.5000 0.8348 0.6696
Ru 0.5000 0.5000 0.0000
Ru 0.5000 0.1652 0.3304
Dy 0.0000 0.0000 0.0000
Y 0.0000 0.6668 0.3335
Y 0.0000 0.3332 0.6665

Computed properties:
V, Å³/cell: 119
Space-group type: Cmmm, No. 65
Total DFT energy (no corrections), eV/atom: -7.85
Calculated formation energy, eV/atom: -0.290
Density of states at the Fermi level, states/eV/atom: 1.145

# 9
DFT (PBE) results for crystalline BaCu2Pb2 at its relaxed geometry.

Cell lengths 8.7928, 8.7928, 3.3061 Å; angles 90.00, 90.00, 90.00 degrees
Atoms (fractional coordinates):
Ba 0.0000 0.0000 0.0000
Ba 0.5000 0.5000 0.0000
Pb 0.8654 0.6346 0.0000
Pb 0.1346 0.3654 0.0000
Pb 0.6346 0.1346 0.0000
Pb 0.3654 0.8654 0.0000
Cu 0.6540 0.8460 0.5000
Cu 0.1540 0.6540 0.5000
Cu 0.3460 0.1540 0.5000
Cu 0.8460 0.3460 0.5000

Computed properties:
V, Å³/cell: 256
Space-group type: P4/mbm, No. 127
Total DFT energy (no corrections), eV/atom: -3.35
Calculated formation energy, eV/atom: 0.157
Density of states at the Fermi level, states/eV/atom: 0.668

# 10
DFT (PBE) results for crystalline TbDyTe3 at its relaxed geometry.

Cell lengths 7.7020, 7.7020, 8.3304 Å; angles 62.47, 62.47, 60.00 degrees
Atoms (fractional coordinates):
Tb 0.1569 0.1569 0.5294
Tb 0.8431 0.8431 0.4706
Dy 0.6572 0.6572 0.0284
Dy 0.3428 0.3428 0.9716
Te 0.9362 0.5635 0.2491
Te 0.5635 0.2511 0.2491
Te 0.2511 0.9362 0.2491
Te 0.0638 0.4365 0.7509
Te 0.4365 0.7489 0.7509
Te 0.7489 0.0638 0.7509

Computed properties:
V, Å³/cell: 362
Space-group type: R-3, No. 148
Uncorrected formation energy, meV/atom: -1366
Total DFT energy (no corrections), eV/atom: -5.10

# 11
DFT (PBE) results for crystalline ScPaFeOs at its relaxed geometry.

Cell lengths 4.6803, 4.6803, 4.6803 Å; angles 60.00, 60.00, 60.00 degrees
Each line ends with the local moment (μB).
Atoms (fractional coordinates):
Pa 0.5000 0.5000 0.5000  -0.35
Os 0.2500 0.2500 0.2500  0.08
Sc 0.0000 0.0000 0.0000  -0.14
Fe 0.7500 0.7500 0.7500  1.23

Computed properties:
V, Å³/cell: 72
Space-group type: F-43m, No. 216
Total DFT energy (no corrections), eV/atom: -9.12
Calculated formation energy, eV/atom: -0.240
Density of states at the Fermi level, states/eV/atom: 0.700

# 12
DFT (PBE) results for crystalline K2RbBa at its relaxed geometry.

Cell lengths 11.6358, 11.6358, 9.3959 Å; angles 51.74, 51.74, 90.00 degrees
Atoms (fractional coordinates):
Ba 0.7500 0.2500 0.5000
Ba 0.0000 0.0000 0.0000
K 0.1401 0.6250 0.2500
K 0.6099 0.1250 0.2500
K 0.3750 0.3901 0.7500
K 0.8750 0.8599 0.7500
Rb 0.2500 0.7500 0.5000
Rb 0.5000 0.5000 0.0000

Computed properties:
V, Å³/cell: 614
Space-group type: I-42d, No. 122
Total DFT energy (no corrections), eV/atom: -1.07
Calculated formation energy, eV/atom: 0.201
Density of states at the Fermi level, states/eV/atom: 1.548

Please write out number 2 again, unchanged.
DFT (PBE) results for crystalline La2NiBr at its relaxed geometry.

Cell lengths 8.4449, 8.4449, 8.4449 Å; angles 154.33, 154.16, 36.74 degrees
Atoms (fractional coordinates):
Br 0.7010 0.2010 0.5000
La 0.3195 0.8195 0.5000
La 0.0278 0.0278 0.0000
Ni 0.4517 0.4517 0.0000

Computed properties:
V, Å³/cell: 114
Space-group type: Imm2, No. 44
Uncorrected formation energy, meV/atom: -727
Total DFT energy (no corrections), eV/atom: -5.05
Density of states at the Fermi level, states/eV/atom: 0.815